Here is an optimized crystal structure of Tb2ZrUP4 from Alexandria. Energies are from PBE. Values from VASP.

Cell and atoms, written as Quantum ESPRESSO input:
```
&SYSTEM
  ibrav = 0, nat = 8, ntyp = 4
/
ATOMIC_SPECIES
Tb 158.93 Tb.upf
Zr 91.22 Zr.upf
U 238.03 U.upf
P 30.97 P.upf
CELL_PARAMETERS angstrom
6.7669 0.0000 0.0000
0.0000 3.9159 0.0000
-2.2394 0.0000 6.4425
ATOMIC_POSITIONS crystal
Tb 0.0000 0.0000 0.0000
Tb 0.5000 0.5000 0.0000
Zr 0.0000 0.5000 0.5000
U 0.5000 0.0000 0.5000
P 0.2426 0.0000 0.7353
P 0.2493 0.5000 0.2611
P 0.7507 0.5000 0.7389
P 0.7574 0.0000 0.2647
```

**Formation energy from the elements**: -1.388 eV/atom
**Calculated total energy**: -7.730 eV per atom
**Mass density**: 7.499 g cm⁻³
**Total moment**: 2.08 μB per cell